[1]
This record from the Alexandria database describes a relaxed FeSiCl2 crystal. The functional is GGA-PBE.

Lattice parameters (Å, degrees): 3.2339 3.2339 8.5339 90.00 90.00 90.00
Space group P4mm (No. 99)
One atom of each set of equivalent atoms:
Fe1 0.0000 0.0000 0.0000
Si1 0.5000 0.5000 0.8884
Cl1 0.0000 0.0000 0.2479
Cl2 0.5000 0.5000 0.6478

## Properties
formation energy without anion corrections = -1.34 eV/f.u.
DOS at the Fermi energy = 0.59 states/eV/atom

***

[2]
This record from the Alexandria database describes a relaxed FeSiCl crystal. The functional is GGA-PBE.

Lattice parameters (Å, degrees): 7.8441 3.1588 8.9330 90.00 91.88 90.00
Space group Cm (No. 8)
One atom of each set of equivalent atoms:
Fe1 0.0000 0.0000 0.0000
Fe2 0.1779 0.5000 0.7978
Si1 0.2877 0.0000 0.9599
Si2 0.4746 0.5000 0.7399
Cl1 0.0087 0.5000 0.1958
Cl2 0.2926 0.5000 0.5555

## Properties
formation energy without anion corrections = -0.72 eV/f.u.
DOS at the Fermi energy = 0.21 states/eV/atom

***

[3]
This record from the Alexandria database describes a relaxed FeSiCl2 crystal. The functional is GGA-PBE.

Lattice parameters (Å, degrees): 3.0349 3.0349 8.2833 90.00 90.00 90.00
Space group P4mm (No. 99)
One atom of each set of equivalent atoms:
Fe1 0.0000 0.0000 0.0000
Si1 0.5000 0.5000 0.1849
Cl1 0.0000 0.0000 0.3933
Cl2 0.5000 0.5000 0.8310

## Properties
formation energy without anion corrections = 0.11 eV/f.u.
DOS at the Fermi energy = 0.91 states/eV/atom

***

[4]
This record from the Alexandria database describes a relaxed FeSiCl2 crystal. The functional is GGA-PBE.

Lattice parameters (Å, degrees): 4.7389 4.7389 3.0938 90.00 90.00 90.00
Space group P4/mmm (No. 123)
One atom of each set of equivalent atoms:
Fe1 0.0000 0.0000 0.0000
Si1 0.5000 0.5000 0.0000
Cl1 0.0000 0.5000 0.5000

## Properties
formation energy without anion corrections = 2.14 eV/f.u.
DOS at the Fermi energy = 0.87 states/eV/atom

***

[5]
This record from the Alexandria database describes a relaxed FeSiCl crystal. The functional is GGA-PBE.

Lattice parameters (Å, degrees): 3.0892 4.3512 9.0464 103.19 90.46 110.75
Space group P-1 (No. 2)
One atom of each set of equivalent atoms:
Fe1 0.1123 0.2285 0.4262
Si1 0.3878 0.7805 0.3774
Cl1 0.1692 0.3534 0.1809

## Properties
formation energy without anion corrections = -1.06 eV/f.u.
DOS at the Fermi energy = 0.60 states/eV/atom

***

[6]
This record from the Alexandria database describes a relaxed FeSiCl crystal. The functional is GGA-PBE.

Lattice parameters (Å, degrees): 4.1383 4.1383 2.9362 90.00 90.00 120.00
Space group P3m1 (No. 156)
One atom of each set of equivalent atoms:
Fe1 0.0000 0.0000 0.0000
Si1 0.3333 0.6667 0.5033
Cl1 0.6667 0.3333 0.0014

## Properties
formation energy without anion corrections = 1.52 eV/f.u.
DOS at the Fermi energy = 0.98 states/eV/atom

***

[7]
This record from the Alexandria database describes a relaxed FeSiTe2Cl crystal. The functional is GGA-PBE.

Lattice parameters (Å, degrees): 5.2883 5.2883 4.6368 90.00 90.00 90.00
Space group P4/mmm (No. 123)
One atom of each set of equivalent atoms:
Fe1 0.0000 0.0000 0.0000
Si1 0.0000 0.0000 0.5000
Te1 0.0000 0.5000 0.5000
Cl1 0.5000 0.5000 0.0000

## Properties
formation energy without anion corrections = 3.02 eV/f.u.
DOS at the Fermi energy = 1.30 states/eV/atom

***

[8]
This record from the Alexandria database describes a relaxed ZnFe2SiCl crystal. The functional is GGA-PBE.

Lattice parameters (Å, degrees): 4.4939 4.4939 5.0638 90.00 90.00 90.00
Space group P4/mmm (No. 123)
One atom of each set of equivalent atoms:
Zn1 0.0000 0.0000 0.0000
Fe1 0.0000 0.5000 0.5000
Si1 0.5000 0.5000 0.5000
Cl1 0.5000 0.5000 0.0000

## Properties
formation energy without anion corrections = 3.86 eV/f.u.
DOS at the Fermi energy = 1.16 states/eV/atom

***

[9]
This record from the Alexandria database describes a relaxed Sm2FeCl crystal. The functional is GGA-PBE.

Lattice parameters (Å, degrees): 3.3357 3.3357 30.1228 90.00 90.00 120.00
Space group R-3m (No. 166, hexagonal axes)
One atom of each set of equivalent atoms:
Sm1 0.0000 0.0000 0.0899
Fe1 0.0000 0.0000 0.0000
Cl1 0.0000 0.0000 0.5000

## Properties
formation energy without anion corrections = -0.22 eV/f.u.
DOS at the Fermi energy = 0.88 states/eV/atom

***

[10]
This record from the Alexandria database describes a relaxed FeSn3Cl crystal. The functional is GGA-PBE.

Lattice parameters (Å, degrees): 5.1643 5.1643 5.1643 90.00 90.00 90.00
Space group Pm-3m (No. 221)
One atom of each set of equivalent atoms:
Fe1 0.0000 0.0000 0.0000
Sn1 0.0000 0.5000 0.5000
Cl1 0.5000 0.5000 0.5000

## Properties
formation energy without anion corrections = 4.74 eV/f.u.
DOS at the Fermi energy = 0.63 states/eV/atom

***

[11]
This record from the Alexandria database describes a relaxed FeSn2Cl crystal. The functional is GGA-PBE.

Lattice parameters (Å, degrees): 6.9065 6.9065 6.9065 90.00 90.00 90.00
Space group Fm-3m (No. 225)
One atom of each set of equivalent atoms:
Fe1 0.0000 0.0000 0.0000
Sn1 0.2500 0.2500 0.2500
Cl1 0.0000 0.0000 0.5000

## Properties
formation energy without anion corrections = 1.51 eV/f.u.
DOS at the Fermi energy = 1.30 states/eV/atom

***

[12]
This record from the Alexandria database describes a relaxed FeSn2Cl6 crystal. The functional is GGA-PBE.

Lattice parameters (Å, degrees): 12.3368 17.5220 5.9023 90.00 114.15 90.00
Space group C2/c (No. 15)
One atom of each set of equivalent atoms:
Fe1 0.0000 0.1804 0.2500
Sn1 0.1446 0.3976 0.6113
Cl1 0.1178 0.2464 0.6038
Cl2 0.1201 0.1046 0.1331
Cl3 0.1324 0.4156 0.0410

## Properties
formation energy without anion corrections = -7.79 eV/f.u.
DOS at the Fermi energy = 0.72 states/eV/atom